First-principles (PBE-GGA) data for K2TbI4 after structural relaxation, as listed in Alexandria via LeMat-Bulk.

Structure (POSCAR):
```
K2TbI4
1.0
-3.018 3.018 8.997
3.018 -3.018 8.997
3.018 3.018 -8.997
K Tb I
2 1 4
Cartesian
0.000 0.000 2.433
0.000 0.000 15.561
0.000 0.000 8.997
3.018 0.000 0.000
0.000 0.000 5.900
0.000 3.018 0.000
0.000 0.000 12.095
```

Results
* M_tot: 0.53 μB/f.u.
* raw formation energy: -1.236 eV/atom